Record 1
RbAsAuO | PBE | optimized geometry

The structure in POSCAR format:
```
RbAsAuO
1.0
3.480 0.000 0.000
0.000 10.587 0.000
0.000 0.000 5.041
As Rb Au O
2 2 2 2
direct
0.000 0.967 0.507
0.000 0.033 0.007
0.000 0.394 0.415
0.000 0.606 0.915
0.500 0.800 0.448
0.500 0.200 0.948
0.500 0.383 0.883
0.500 0.617 0.383
```

ΔE to the lowest computed polymorph = 0 meV per atom
Space group = No. 26

Record 2
Co2W | PBE | optimized geometry

The structure in POSCAR format:
```
Co2W
1.0
-7.841 -4.016 -0.691
3.954 -7.135 -3.399
0.522 -1.757 4.296
W Co
10 20
direct
0.500 0.500 0.500
0.145 0.459 0.000
0.855 0.541 0.000
0.041 0.645 0.500
0.541 0.855 0.000
0.959 0.355 0.500
0.355 0.959 0.500
0.645 0.041 0.500
0.000 0.000 0.000
0.459 0.145 0.000
0.684 0.316 0.751
0.816 0.816 0.251
0.316 0.684 0.249
0.905 0.095 0.500
0.405 0.405 0.000
0.239 0.432 0.500
0.932 0.261 0.000
0.261 0.932 0.000
0.184 0.184 0.749
0.761 0.568 0.500
0.316 0.684 0.751
0.595 0.595 0.000
0.816 0.816 0.749
0.068 0.739 0.000
0.739 0.068 0.000
0.684 0.316 0.249
0.184 0.184 0.251
0.568 0.761 0.500
0.095 0.905 0.500
0.432 0.239 0.500
```

Calculated formation energy = 7.32 kJ per mole of atoms
Magnetization = 0.6 μB per formula unit
Space group = No. 136

Record 3
TmMgCuSe3 | PBE | optimized geometry

The structure in POSCAR format:
```
TmMgCuSe3
1.0
-0.360 4.768 -4.692
-1.122 1.466 -6.439
-10.153 1.256 2.054
Cu Se Mg Tm
2 6 2 2
direct
0.477 0.477 0.250
0.523 0.523 0.750
0.352 0.352 0.076
0.898 0.898 0.750
0.352 0.352 0.424
0.648 0.648 0.924
0.102 0.102 0.250
0.648 0.648 0.576
0.231 0.231 0.750
0.769 0.769 0.250
0.000 0.000 0.500
0.000 0.000 0.000
```

ΔE to the lowest computed polymorph = 21 meV per atom
Magnetization = 0.0 μB per formula unit
Space group = No. 63